Record 1
# NbNiTe2, relaxed, DFT PBEsol
# Crystal system   orthorhombic
# N(E_F)   0.583 states/eV/atom
# VASP energy   -6.47 eV/atom
data_NbNiTe2
_chemical_formula_sum 'Nb4 Ni4 Te8'
_symmetry_space_group_name_H-M 'P m n a'
_symmetry_Int_Tables_number 53
_cell_length_a 7.912
_cell_length_b 7.201
_cell_length_c 6.202
_cell_angle_alpha 90.00
_cell_angle_beta 90.00
_cell_angle_gamma 90.00
loop_
_symmetry_equiv_pos_as_xyz
'x,y,z'
'-x,-y,-z'
'-x+1/2,-y,z+1/2'
'x+1/2,y,-z+1/2'
'x,-y,-z'
'-x,y,z'
'-x+1/2,y,-z+1/2'
'x+1/2,-y,z+1/2'
loop_
_atom_site_label
_atom_site_fract_x
_atom_site_fract_y
_atom_site_fract_z
Nb1 0.206 0.000 0.000
Ni1 0.000 0.121 0.355
Te1 0.000 0.226 0.749
Te2 0.250 0.324 0.250

=====

Record 2
# Nb2Ni5Te6, relaxed, DFT PBEsol
# Crystal system   triclinic
# N(E_F)   0.610 states/eV/atom
# VASP energy   -6.02 eV/atom
data_Nb2Ni5Te6
_chemical_formula_sum 'Nb4 Ni10 Te12'
_symmetry_space_group_name_H-M 'P -1'
_symmetry_Int_Tables_number 2
_cell_length_a 7.435
_cell_length_b 8.187
_cell_length_c 10.485
_cell_angle_alpha 67.40
_cell_angle_beta 69.61
_cell_angle_gamma 63.33
loop_
_symmetry_equiv_pos_as_xyz
'x,y,z'
'-x,-y,-z'
loop_
_atom_site_label
_atom_site_fract_x
_atom_site_fract_y
_atom_site_fract_z
Nb1 0.123 0.211 0.290
Nb2 0.375 0.797 0.703
Ni1 0.066 0.046 0.571
Ni2 0.117 0.597 0.913
Ni3 0.267 0.220 0.993
Ni4 0.379 0.397 0.088
Ni5 0.431 0.953 0.428
Te1 0.004 0.590 0.172
Te2 0.023 0.034 0.158
Te3 0.236 0.280 0.499
Te4 0.262 0.714 0.505
Te5 0.467 0.972 0.841
Te6 0.494 0.579 0.171

=====

Record 3
# NbNiTe3, relaxed, DFT PBEsol
# Crystal system   cubic
# N(E_F)   0.926 states/eV/atom
# VASP energy   -4.91 eV/atom
data_NbNiTe3
_chemical_formula_sum 'Nb1 Ni1 Te3'
_symmetry_space_group_name_H-M 'P m -3 m'
_symmetry_Int_Tables_number 221
_symmetry_space_group_name_Hall '-P 4 2 3'
_cell_length_a 4.915
_cell_length_b 4.915
_cell_length_c 4.915
_cell_angle_alpha 90.00
_cell_angle_beta 90.00
_cell_angle_gamma 90.00
loop_
_atom_site_label
_atom_site_fract_x
_atom_site_fract_y
_atom_site_fract_z
Nb1 0.000 0.000 0.000
Ni1 0.500 0.500 0.500
Te1 0.000 0.500 0.500

=====

Record 4
# NbNiTe5, relaxed, DFT PBEsol
# Crystal system   orthorhombic
# N(E_F)   0.293 states/eV/atom
# VASP energy   -5.30 eV/atom
data_NbNiTe5
_chemical_formula_sum 'Nb4 Ni4 Te20'
_symmetry_space_group_name_H-M 'C m c m'
_symmetry_Int_Tables_number 63
_symmetry_space_group_name_Hall '-C 2c 2'
_cell_length_a 3.636
_cell_length_b 13.018
_cell_length_c 15.124
_cell_angle_alpha 90.00
_cell_angle_beta 90.00
_cell_angle_gamma 90.00
loop_
_atom_site_label
_atom_site_fract_x
_atom_site_fract_y
_atom_site_fract_z
Nb1 0.000 0.009 0.250
Ni1 0.000 0.500 0.000
Te1 0.000 0.105 0.076
Te2 0.000 0.326 0.750
Te3 0.000 0.396 0.143

=====

Record 5
# NbZn2NiTe, relaxed, DFT PBEsol
# Crystal system   tetragonal
# N(E_F)   1.508 states/eV/atom
# VASP energy   -3.51 eV/atom
data_NbZn2NiTe
_chemical_formula_sum 'Nb1 Zn2 Ni1 Te1'
_symmetry_space_group_name_H-M 'P 4/m m m'
_symmetry_Int_Tables_number 123
_symmetry_space_group_name_Hall '-P 4 2'
_cell_length_a 4.919
_cell_length_b 4.919
_cell_length_c 5.135
_cell_angle_alpha 90.00
_cell_angle_beta 90.00
_cell_angle_gamma 90.00
loop_
_atom_site_label
_atom_site_fract_x
_atom_site_fract_y
_atom_site_fract_z
Nb1 0.000 0.000 0.000
Zn1 0.000 0.500 0.000
Ni1 0.500 0.500 0.500
Te1 0.000 0.000 0.500

=====

Record 6
# TiNb2Ni, relaxed, DFT PBEsol
# Energy of formation   0.043 eV/atom
# Crystal system   cubic
# N(E_F)   1.004 states/eV/atom
# VASP energy   -8.99 eV/atom
data_TiNb2Ni
_chemical_formula_sum 'Ti4 Nb8 Ni4'
_symmetry_space_group_name_H-M 'F m -3 m'
_symmetry_Int_Tables_number 225
_symmetry_space_group_name_Hall '-F 4 2 3'
_cell_length_a 6.250
_cell_length_b 6.250
_cell_length_c 6.250
_cell_angle_alpha 90.00
_cell_angle_beta 90.00
_cell_angle_gamma 90.00
loop_
_atom_site_label
_atom_site_fract_x
_atom_site_fract_y
_atom_site_fract_z
Ti1 0.000 0.000 0.000
Nb1 0.250 0.250 0.250
Ni1 0.000 0.000 0.500

=====

Record 7
# NbVNi, relaxed, DFT PBEsol
# Energy of formation   -0.188 eV/atom
# Crystal system   orthorhombic
# N(E_F)   1.092 states/eV/atom
# VASP energy   -9.06 eV/atom
data_NbVNi
_chemical_formula_sum 'Nb8 V8 Ni8'
_symmetry_space_group_name_H-M 'A m m 2'
_symmetry_Int_Tables_number 38
_cell_length_a 8.025
_cell_length_b 4.850
_cell_length_c 8.389
_cell_angle_alpha 90.00
_cell_angle_beta 90.00
_cell_angle_gamma 90.00
loop_
_symmetry_equiv_pos_as_xyz
'x,y,z'
'-x,-y,z'
'-x,y,z'
'x,-y,z'
'x,y+1/2,z+1/2'
'-x,-y+1/2,z+1/2'
'-x,y+1/2,z+1/2'
'x,-y+1/2,z+1/2'
loop_
_atom_site_label
_atom_site_fract_x
_atom_site_fract_y
_atom_site_fract_z
Nb1 0.183 0.000 0.000
Nb2 0.304 0.000 0.334
V1 0.000 0.000 0.517
V2 0.500 0.000 0.846
V3 0.500 0.247 0.088
Ni1 0.000 0.245 0.269
Ni2 0.245 0.000 0.675

=====

Record 8
# Nb2ZnNi2, relaxed, DFT PBEsol
# Energy of formation   -0.147 eV/atom
# Crystal system   tetragonal
# N(E_F)   0.822 states/eV/atom
# VASP energy   -7.26 eV/atom
data_Nb2ZnNi2
_chemical_formula_sum 'Nb4 Zn2 Ni4'
_symmetry_space_group_name_H-M 'P 4/m b m'
_symmetry_Int_Tables_number 127
_symmetry_space_group_name_Hall '-P 4 2ab'
_cell_length_a 6.731
_cell_length_b 6.731
_cell_length_c 3.143
_cell_angle_alpha 90.00
_cell_angle_beta 90.00
_cell_angle_gamma 90.00
loop_
_atom_site_label
_atom_site_fract_x
_atom_site_fract_y
_atom_site_fract_z
Nb1 0.176 0.324 0.000
Zn1 0.000 0.000 0.500
Ni1 0.125 0.625 0.500

=====

Record 9
# NbZn3Ni, relaxed, DFT PBEsol
# Energy of formation   0.500 eV/atom
# Crystal system   cubic
# N(E_F)   0.924 states/eV/atom
# VASP energy   -3.85 eV/atom
data_NbZn3Ni
_chemical_formula_sum 'Nb1 Zn3 Ni1'
_symmetry_space_group_name_H-M 'P m -3 m'
_symmetry_Int_Tables_number 221
_symmetry_space_group_name_Hall '-P 4 2 3'
_cell_length_a 4.302
_cell_length_b 4.302
_cell_length_c 4.302
_cell_angle_alpha 90.00
_cell_angle_beta 90.00
_cell_angle_gamma 90.00
loop_
_atom_site_label
_atom_site_fract_x
_atom_site_fract_y
_atom_site_fract_z
Nb1 0.000 0.000 0.000
Zn1 0.000 0.500 0.500
Ni1 0.500 0.500 0.500

=====

Record 10
# NbO2, relaxed, DFT PBEsol
# Crystal system   tetragonal
# N(E_F)   0.264 states/eV/atom
# VASP energy   -9.53 eV/atom
data_NbO2
_chemical_formula_sum 'Nb4 O8'
_symmetry_space_group_name_H-M 'I 41/a m d'
_symmetry_Int_Tables_number 141
_cell_length_a 4.040
_cell_length_b 4.040
_cell_length_c 8.760
_cell_angle_alpha 90.00
_cell_angle_beta 90.00
_cell_angle_gamma 90.00
loop_
_symmetry_equiv_pos_as_xyz
'x,y,z'
'-x,-y,-z'
'-y+1/4,x+3/4,z+1/4'
'y+1/4,-x+3/4,-z+1/4'
'-x+1/2,-y,z+1/2'
'x+1/2,y,-z+1/2'
'y+1/4,-x+1/4,z+3/4'
'-y+1/4,x+1/4,-z+3/4'
'x,-y,-z'
'-x,y,z'
'-y+1/4,-x+1/4,-z+3/4'
'y+1/4,x+1/4,z+3/4'
'-x+1/2,y,-z+1/2'
'x+1/2,-y,z+1/2'
'y+1/4,x+3/4,-z+1/4'
'-y+1/4,-x+3/4,z+1/4'
'x+1/2,y+1/2,z+1/2'
'-x+1/2,-y+1/2,-z+1/2'
'-y+3/4,x+1/4,z+3/4'
'y+3/4,-x+1/4,-z+3/4'
'-x,-y+1/2,z'
'x,y+1/2,-z'
'y+3/4,-x+3/4,z+1/4'
'-y+3/4,x+3/4,-z+1/4'
'x+1/2,-y+1/2,-z+1/2'
'-x+1/2,y+1/2,z+1/2'
'-y+3/4,-x+3/4,-z+1/4'
'y+3/4,x+3/4,z+1/4'
'-x,y+1/2,-z'
'x,-y+1/2,z'
'y+3/4,x+1/4,-z+3/4'
'-y+3/4,-x+1/4,z+3/4'
loop_
_atom_site_label
_atom_site_fract_x
_atom_site_fract_y
_atom_site_fract_z
Nb1 0.000 0.250 0.375
O1 0.000 0.250 0.129

=====

Record 11
# NbO2, relaxed, DFT PBEsol
# Crystal system   tetragonal
# VASP energy   -9.56 eV/atom
data_NbO2
_chemical_formula_sum 'Nb32 O64'
_symmetry_space_group_name_H-M 'I 41/a'
_symmetry_Int_Tables_number 88
_cell_length_a 13.742
_cell_length_b 13.742
_cell_length_c 6.038
_cell_angle_alpha 90.00
_cell_angle_beta 90.00
_cell_angle_gamma 90.00
loop_
_symmetry_equiv_pos_as_xyz
'x,y,z'
'-x,-y,-z'
'-y+3/4,x+1/4,z+1/4'
'y+3/4,-x+1/4,-z+1/4'
'-x+1/2,-y,z+1/2'
'x+1/2,y,-z+1/2'
'y+3/4,-x+3/4,z+3/4'
'-y+3/4,x+3/4,-z+3/4'
'x+1/2,y+1/2,z+1/2'
'-x+1/2,-y+1/2,-z+1/2'
'-y+1/4,x+3/4,z+3/4'
'y+1/4,-x+3/4,-z+3/4'
'-x,-y+1/2,z'
'x,y+1/2,-z'
'y+1/4,-x+1/4,z+1/4'
'-y+1/4,x+1/4,-z+1/4'
loop_
_atom_site_label
_atom_site_fract_x
_atom_site_fract_y
_atom_site_fract_z
Nb1 0.112 0.378 0.474
Nb2 0.125 0.117 0.222
O1 0.014 0.127 0.982
O2 0.029 0.123 0.508
O3 0.124 0.476 0.749
O4 0.126 0.488 0.254

=====

Record 12
# NbO, relaxed, DFT PBEsol
# Crystal system   cubic
# N(E_F)   0.431 states/eV/atom
# VASP energy   -10.03 eV/atom
data_NbO
_chemical_formula_sum 'Nb3 O3'
_symmetry_space_group_name_H-M 'P m -3 m'
_symmetry_Int_Tables_number 221
_symmetry_space_group_name_Hall '-P 4 2 3'
_cell_length_a 4.220
_cell_length_b 4.220
_cell_length_c 4.220
_cell_angle_alpha 90.00
_cell_angle_beta 90.00
_cell_angle_gamma 90.00
loop_
_atom_site_label
_atom_site_fract_x
_atom_site_fract_y
_atom_site_fract_z
Nb1 0.000 0.000 0.500
O1 0.000 0.500 0.500

=====

Record 13
# NbO2, relaxed, DFT PBEsol
# Crystal system   tetragonal
# N(E_F)   0.531 states/eV/atom
# VASP energy   -9.54 eV/atom
data_NbO2
_chemical_formula_sum 'Nb2 O4'
_symmetry_space_group_name_H-M 'P 42/m n m'
_symmetry_Int_Tables_number 136
_symmetry_space_group_name_Hall '-P 4n 2n'
_cell_length_a 4.962
_cell_length_b 4.962
_cell_length_c 2.909
_cell_angle_alpha 90.00
_cell_angle_beta 90.00
_cell_angle_gamma 90.00
loop_
_atom_site_label
_atom_site_fract_x
_atom_site_fract_y
_atom_site_fract_z
Nb1 0.000 0.000 0.000
O1 0.211 0.211 0.500

=====

Record 14
# Nb4O5, relaxed, DFT PBEsol
# Crystal system   tetragonal
# N(E_F)   0.300 states/eV/atom
# VASP energy   -9.86 eV/atom
data_Nb4O5
_chemical_formula_sum 'Nb8 O10'
_symmetry_space_group_name_H-M 'P 42/n m c'
_symmetry_Int_Tables_number 137
_cell_length_a 6.673
_cell_length_b 6.673
_cell_length_c 4.804
_cell_angle_alpha 90.00
_cell_angle_beta 90.00
_cell_angle_gamma 90.00
loop_
_symmetry_equiv_pos_as_xyz
'x,y,z'
'-x,-y,-z'
'-y+1/2,x,z+1/2'
'y+1/2,-x,-z+1/2'
'-x+1/2,-y+1/2,z'
'x+1/2,y+1/2,-z'
'y,-x+1/2,z+1/2'
'-y,x+1/2,-z+1/2'
'x+1/2,-y,-z'
'-x+1/2,y,z'
'-y,-x,-z+1/2'
'y,x,z+1/2'
'-x,y+1/2,-z'
'x,-y+1/2,z'
'y+1/2,x+1/2,-z+1/2'
'-y+1/2,-x+1/2,z+1/2'
loop_
_atom_site_label
_atom_site_fract_x
_atom_site_fract_y
_atom_site_fract_z
Nb1 0.046 0.250 0.047
O1 0.037 0.537 0.250
O2 0.250 0.750 0.750

=====

Record 15
# NbO2, relaxed, DFT PBEsol
# Crystal system   orthorhombic
# N(E_F)   0.560 states/eV/atom
# VASP energy   -9.53 eV/atom
data_NbO2
_chemical_formula_sum 'Nb8 O16'
_symmetry_space_group_name_H-M 'P b c a'
_symmetry_Int_Tables_number 61
_cell_length_a 4.999
_cell_length_b 5.309
_cell_length_c 9.820
_cell_angle_alpha 90.00
_cell_angle_beta 90.00
_cell_angle_gamma 90.00
loop_
_symmetry_equiv_pos_as_xyz
'x,y,z'
'-x,-y,-z'
'-x+1/2,-y,z+1/2'
'x+1/2,y,-z+1/2'
'x+1/2,-y+1/2,-z'
'-x+1/2,y+1/2,z'
'-x,y+1/2,-z+1/2'
'x,-y+1/2,z+1/2'
loop_
_atom_site_label
_atom_site_fract_x
_atom_site_fract_y
_atom_site_fract_z
Nb1 0.054 0.145 0.144
O1 0.177 0.656 0.531
O2 0.243 0.601 0.788

=====

Record 16
# NbO2, relaxed, DFT PBEsol
# Crystal system   monoclinic
# N(E_F)   0.458 states/eV/atom
# VASP energy   -9.52 eV/atom
data_NbO2
_chemical_formula_sum 'Nb8 O16'
_symmetry_space_group_name_H-M 'C 1 2/m 1'
_symmetry_Int_Tables_number 12
_cell_length_a 13.194
_cell_length_b 3.911
_cell_length_c 6.801
_cell_angle_alpha 90.00
_cell_angle_beta 111.13
_cell_angle_gamma 90.00
loop_
_symmetry_equiv_pos_as_xyz
'x,y,z'
'-x,-y,-z'
'-x,y,-z'
'x,-y,z'
'x+1/2,y+1/2,z'
'-x+1/2,-y+1/2,-z'
'-x+1/2,y+1/2,-z'
'x+1/2,-y+1/2,z'
loop_
_atom_site_label
_atom_site_fract_x
_atom_site_fract_y
_atom_site_fract_z
Nb1 0.092 0.000 0.159
Nb2 0.194 0.000 0.771
O1 0.060 0.000 0.828
O2 0.134 0.500 0.163
O3 0.143 0.000 0.486
O4 0.235 0.500 0.848

=====

Record 17
# Nb2O3, relaxed, DFT PBEsol
# Crystal system   monoclinic
# N(E_F)   0.142 states/eV/atom
# VASP energy   -9.70 eV/atom
data_Nb2O3
_chemical_formula_sum 'Nb8 O12'
_symmetry_space_group_name_H-M 'C 1 2/m 1'
_symmetry_Int_Tables_number 12
_cell_length_a 11.701
_cell_length_b 2.840
_cell_length_c 7.499
_cell_angle_alpha 90.00
_cell_angle_beta 112.18
_cell_angle_gamma 90.00
loop_
_symmetry_equiv_pos_as_xyz
'x,y,z'
'-x,-y,-z'
'-x,y,-z'
'x,-y,z'
'x+1/2,y+1/2,z'
'-x+1/2,-y+1/2,-z'
'-x+1/2,y+1/2,-z'
'x+1/2,-y+1/2,z'
loop_
_atom_site_label
_atom_site_fract_x
_atom_site_fract_y
_atom_site_fract_z
Nb1 0.160 0.000 0.357
Nb2 0.163 0.500 0.846
O1 0.026 0.000 0.796
O2 0.137 0.500 0.553
O3 0.190 0.500 0.153

=====

Record 18
# Nb12O29, relaxed, DFT PBEsol
# Crystal system   monoclinic
# N(E_F)   0.230 states/eV/atom
# VASP energy   -9.40 eV/atom
data_Nb12O29
_chemical_formula_sum 'Nb24 O58'
_symmetry_space_group_name_H-M 'C 1 2/m 1'
_symmetry_Int_Tables_number 12
_cell_length_a 20.925
_cell_length_b 3.846
_cell_length_c 15.831
_cell_angle_alpha 90.00
_cell_angle_beta 113.10
_cell_angle_gamma 90.00
loop_
_symmetry_equiv_pos_as_xyz
'x,y,z'
'-x,-y,-z'
'-x,y,-z'
'x,-y,z'
'x+1/2,y+1/2,z'
'-x+1/2,-y+1/2,-z'
'-x+1/2,y+1/2,-z'
'x+1/2,-y+1/2,z'
loop_
_atom_site_label
_atom_site_fract_x
_atom_site_fract_y
_atom_site_fract_z
Nb1 0.039 0.000 0.131
Nb2 0.067 0.000 0.600
Nb3 0.119 0.000 0.404
Nb4 0.145 0.000 0.870
Nb5 0.198 0.500 0.599
Nb6 0.224 0.000 0.133
O1 0.000 0.000 0.000
O2 0.031 0.000 0.439
O3 0.046 0.500 0.149
O4 0.056 0.000 0.866
O5 0.077 0.000 0.282
O6 0.087 0.500 0.586
O7 0.100 0.000 0.724
O8 0.133 0.500 0.444
O9 0.138 0.000 0.139
O10 0.165 0.000 0.571
O11 0.167 0.500 0.860
O12 0.189 0.000 0.001
O13 0.218 0.000 0.417
O14 0.229 0.500 0.723
O15 0.248 0.000 0.858